# Na2PrThTe4 | the Alexandria database | GGA-PBE | relaxed
data_Na2PrThTe4
_chemical_formula_sum 'Na2 Pr1 Th1 Te4'
_symmetry_space_group_name_H-M 'P 1 2/m 1'
_symmetry_Int_Tables_number 10
_cell_length_a 7.7752
_cell_length_b 4.4798
_cell_length_c 8.1081
_cell_angle_alpha 90.00
_cell_angle_beta 108.50
_cell_angle_gamma 90.00
loop_
_symmetry_equiv_pos_as_xyz
'x,y,z'
'-x,-y,-z'
'-x,y,-z'
'x,-y,z'
loop_
_atom_site_label
_atom_site_fract_x
_atom_site_fract_y
_atom_site_fract_z
Na1 0.0000 0.0000 0.0000
Na2 0.5000 0.5000 0.0000
Pr1 0.0000 0.5000 0.5000
Th1 0.5000 0.0000 0.5000
Te1 0.2530 0.0000 0.7441
Te2 0.2563 0.5000 0.2565
# - E: -4.64 eV per atom
# - Calculated volume: 267.8 Å³ per cell

# Cs2LiNdB2O6 | the Alexandria database | GGA-PBE | relaxed
data_Cs2LiNdB2O6
_chemical_formula_sum 'Cs8 Li4 Nd4 B8 O24'
_symmetry_space_group_name_H-M 'P b c m'
_symmetry_Int_Tables_number 57
_cell_length_a 7.3214
_cell_length_b 10.0877
_cell_length_c 10.4460
_cell_angle_alpha 90.00
_cell_angle_beta 90.00
_cell_angle_gamma 90.00
loop_
_symmetry_equiv_pos_as_xyz
'x,y,z'
'-x,-y,-z'
'-x,-y,z+1/2'
'x,y,-z+1/2'
'x,-y+1/2,-z'
'-x,y+1/2,z'
'-x,y+1/2,-z+1/2'
'x,-y+1/2,z+1/2'
loop_
_atom_site_label
_atom_site_fract_x
_atom_site_fract_y
_atom_site_fract_z
Cs1 0.2265 0.0768 0.0530
Li1 0.0549 0.1619 0.7500
Nd1 0.3555 0.7248 0.2500
B1 0.1910 0.7500 0.0000
B2 0.3481 0.0679 0.7500
O1 0.1017 0.7126 0.6113
O2 0.1940 0.5129 0.2500
O3 0.3266 0.2052 0.7500
O4 0.3823 0.7500 0.0000
O5 0.4804 0.5099 0.7500
# - E: -6.78 eV per atom
# - Calculated volume: 771.5 Å³ per cell

# Y2Ho6Th3 | the Alexandria database | GGA-PBE | relaxed
data_Y2Ho6Th3
_chemical_formula_sum 'Y4 Ho12 Th6'
_symmetry_space_group_name_H-M 'C 1 2/m 1'
_symmetry_Int_Tables_number 12
_cell_length_a 6.1531
_cell_length_b 10.6827
_cell_length_c 11.2300
_cell_angle_alpha 90.00
_cell_angle_beta 90.13
_cell_angle_gamma 90.00
loop_
_symmetry_equiv_pos_as_xyz
'x,y,z'
'-x,-y,-z'
'-x,y,-z'
'x,-y,z'
'x+1/2,y+1/2,z'
'-x+1/2,-y+1/2,-z'
'-x+1/2,y+1/2,-z'
'x+1/2,-y+1/2,z'
loop_
_atom_site_label
_atom_site_fract_x
_atom_site_fract_y
_atom_site_fract_z
Y1 0.0000 0.1661 0.0000
Ho1 0.1638 0.3347 0.2526
Ho2 0.1675 0.0000 0.2533
Th1 0.0000 0.1668 0.5000
Th2 0.0000 0.5000 0.5000
# - DFT formation energy: 166.0 meV per atom
# - E: -5.53 eV per atom
# - Calculated volume: 738.2 Å³ per cell

# Ce8Os3SCl4 | the Alexandria database | GGA-PBE | relaxed
data_Ce8Os3SCl4
_chemical_formula_sum 'Ce24 Os9 S3 Cl12'
_symmetry_space_group_name_H-M 'R -3 m'
_symmetry_Int_Tables_number 166
_symmetry_space_group_name_Hall '-R 3 2"'
_cell_length_a 8.0996
_cell_length_b 8.0996
_cell_length_c 21.5299
_cell_angle_alpha 90.00
_cell_angle_beta 90.00
_cell_angle_gamma 120.00
loop_
_atom_site_label
_atom_site_fract_x
_atom_site_fract_y
_atom_site_fract_z
Ce1 0.0000 0.0000 0.2364
Ce2 0.0051 0.5025 0.7620
Os1 0.0000 0.5000 0.5000
S1 0.0000 0.0000 0.5000
Cl1 0.0000 0.0000 0.0000
Cl2 0.0000 0.5000 0.0000
# - E: -6.84 eV per atom
# - Calculated volume: 1223.2 Å³ per cell

# RbHfSc | the Alexandria database | GGA-PBE | relaxed
data_RbHfSc
_chemical_formula_sum 'Rb4 Hf4 Sc4'
_symmetry_space_group_name_H-M 'P n m a'
_symmetry_Int_Tables_number 62
_cell_length_a 14.4818
_cell_length_b 5.9130
_cell_length_c 5.2846
_cell_angle_alpha 90.00
_cell_angle_beta 90.00
_cell_angle_gamma 90.00
loop_
_symmetry_equiv_pos_as_xyz
'x,y,z'
'-x,-y,-z'
'-x+1/2,-y,z+1/2'
'x+1/2,y,-z+1/2'
'x+1/2,-y+1/2,-z+1/2'
'-x+1/2,y+1/2,z+1/2'
'-x,y+1/2,-z'
'x,-y+1/2,z'
loop_
_atom_site_label
_atom_site_fract_x
_atom_site_fract_y
_atom_site_fract_z
Rb1 0.2343 0.2500 0.0014
Hf1 0.0216 0.7500 0.0000
Sc1 0.0000 0.0000 0.5000
# - DFT formation energy: 799.3 meV per atom
# - E: -4.95 eV per atom
# - Calculated volume: 452.5 Å³ per cell

# Ac6Cd2Co | the Alexandria database | GGA-PBE | relaxed
data_Ac6Cd2Co
_chemical_formula_sum 'Ac12 Cd4 Co2'
_symmetry_space_group_name_H-M 'P 1 21/c 1'
_symmetry_Int_Tables_number 14
_cell_length_a 7.6735
_cell_length_b 7.8210
_cell_length_c 13.5099
_cell_angle_alpha 90.00
_cell_angle_beta 123.97
_cell_angle_gamma 90.00
loop_
_symmetry_equiv_pos_as_xyz
'x,y,z'
'-x,-y,-z'
'-x,y+1/2,-z+1/2'
'x,-y+1/2,z+1/2'
loop_
_atom_site_label
_atom_site_fract_x
_atom_site_fract_y
_atom_site_fract_z
Ac1 0.1629 0.0024 0.2462
Ac2 0.2380 0.7043 0.0368
Ac3 0.3325 0.2048 0.0374
Cd1 0.2796 0.0614 0.7539
Co1 0.0000 0.0000 0.0000
# - DFT formation energy: -116.5 meV per atom
# - E: -3.85 eV per atom
# - Calculated volume: 672.4 Å³ per cell

# YMgCd2H | the Alexandria database | GGA-PBE | relaxed
data_YMgCd2H
_chemical_formula_sum 'Y1 Mg1 Cd2 H1'
_symmetry_space_group_name_H-M 'P 4/m m m'
_symmetry_Int_Tables_number 123
_symmetry_space_group_name_Hall '-P 4 2'
_cell_length_a 4.8266
_cell_length_b 4.8266
_cell_length_c 4.2653
_cell_angle_alpha 90.00
_cell_angle_beta 90.00
_cell_angle_gamma 90.00
loop_
_atom_site_label
_atom_site_fract_x
_atom_site_fract_y
_atom_site_fract_z
Y1 0.0000 0.0000 0.0000
Mg1 0.5000 0.5000 0.0000
Cd1 0.0000 0.5000 0.5000
H1 0.0000 0.0000 0.5000
# - E: -2.82 eV per atom
# - Calculated volume: 99.4 Å³ per cell

# Ce3Th2 | the Alexandria database | GGA-PBE | relaxed
data_Ce3Th2
_chemical_formula_sum 'Ce9 Th6'
_symmetry_space_group_name_H-M 'R -3 m'
_symmetry_Int_Tables_number 166
_symmetry_space_group_name_Hall '-R 3 2"'
_cell_length_a 6.3152
_cell_length_b 6.3152
_cell_length_c 13.2784
_cell_angle_alpha 90.00
_cell_angle_beta 90.00
_cell_angle_gamma 120.00
loop_
_atom_site_label
_atom_site_fract_x
_atom_site_fract_y
_atom_site_fract_z
Ce1 0.0000 0.5000 0.0000
Th1 0.0000 0.0000 0.1236
# - DFT formation energy: 285.6 meV per atom
# - E: -6.24 eV per atom
# - Calculated volume: 458.6 Å³ per cell

# HfNp5S6 | the Alexandria database | GGA-PBE | relaxed
data_HfNp5S6
_chemical_formula_sum 'Hf2 Np10 S12'
_symmetry_space_group_name_H-M 'C 1 2/m 1'
_symmetry_Int_Tables_number 12
_cell_length_a 6.6690
_cell_length_b 11.5425
_cell_length_c 6.6664
_cell_angle_alpha 90.00
_cell_angle_beta 109.50
_cell_angle_gamma 90.00
loop_
_symmetry_equiv_pos_as_xyz
'x,y,z'
'-x,-y,-z'
'-x,y,-z'
'x,-y,z'
'x+1/2,y+1/2,z'
'-x+1/2,-y+1/2,-z'
'-x+1/2,y+1/2,-z'
'x+1/2,-y+1/2,z'
loop_
_atom_site_label
_atom_site_fract_x
_atom_site_fract_y
_atom_site_fract_z
Hf1 0.0000 0.0000 0.0000
Np1 0.0000 0.1686 0.5000
Np2 0.0000 0.3338 0.0000
Np3 0.0000 0.5000 0.5000
S1 0.2425 0.0000 0.7533
S2 0.2434 0.1626 0.2434
# - E: -9.64 eV per atom
# - Calculated volume: 483.7 Å³ per cell

# CaSeBr2 | the Alexandria database | GGA-PBE | relaxed
data_CaSeBr2
_chemical_formula_sum 'Ca4 Se4 Br8'
_symmetry_space_group_name_H-M 'F m -3 m'
_symmetry_Int_Tables_number 225
_symmetry_space_group_name_Hall '-F 4 2 3'
_cell_length_a 7.5725
_cell_length_b 7.5725
_cell_length_c 7.5725
_cell_angle_alpha 90.00
_cell_angle_beta 90.00
_cell_angle_gamma 90.00
loop_
_atom_site_label
_atom_site_fract_x
_atom_site_fract_y
_atom_site_fract_z
Ca1 0.0000 0.0000 0.0000
Se1 0.0000 0.0000 0.5000
Br1 0.2500 0.2500 0.2500
# - E: -2.97 eV per atom
# - Calculated volume: 434.2 Å³ per cell

# Hf2Fe2As | the Alexandria database | GGA-PBE | relaxed
data_Hf2Fe2As
_chemical_formula_sum 'Hf4 Fe4 As2'
_symmetry_space_group_name_H-M 'P 4/m b m'
_symmetry_Int_Tables_number 127
_symmetry_space_group_name_Hall '-P 4 2ab'
_cell_length_a 6.0223
_cell_length_b 6.0223
_cell_length_c 4.3142
_cell_angle_alpha 90.00
_cell_angle_beta 90.00
_cell_angle_gamma 90.00
loop_
_atom_site_label
_atom_site_fract_x
_atom_site_fract_y
_atom_site_fract_z
Hf1 0.1795 0.3205 0.0000
Fe1 0.1311 0.6311 0.5000
As1 0.0000 0.0000 0.5000
# - DFT formation energy: -264.9 meV per atom
# - E: -8.56 eV per atom
# - Calculated volume: 156.5 Å³ per cell

# Sb4PCl | the Alexandria database | GGA-PBE | relaxed
data_Sb4PCl
_chemical_formula_sum 'Sb16 P4 Cl4'
_symmetry_space_group_name_H-M 'F -4 3 m'
_symmetry_Int_Tables_number 216
_symmetry_space_group_name_Hall 'F -4 2 3'
_cell_length_a 8.6633
_cell_length_b 8.6633
_cell_length_c 8.6633
_cell_angle_alpha 90.00
_cell_angle_beta 90.00
_cell_angle_gamma 90.00
loop_
_atom_site_label
_atom_site_fract_x
_atom_site_fract_y
_atom_site_fract_z
Sb1 0.1230 0.1230 0.1230
P1 0.0000 0.0000 0.5000
Cl1 0.2500 0.2500 0.7500
# - E: -3.42 eV per atom
# - Calculated volume: 650.2 Å³ per cell